Entry 1:
Nd4RuPtBr2 after structural relaxation. Source: Alexandria via LeMat-Bulk, functional PBE. Values from VASP.

Quantum ESPRESSO input file:
```
&SYSTEM
  ibrav = 0, nat = 8, ntyp = 4
/
ATOMIC_SPECIES
Nd 144.24 Nd.upf
Ru 101.07 Ru.upf
Pt 195.08 Pt.upf
Br 79.90 Br.upf
CELL_PARAMETERS angstrom
7.2006 0.0000 0.0000
0.0000 4.1584 0.0000
-2.3855 0.0000 7.8198
ATOMIC_POSITIONS crystal
Nd 0.2231 0.0000 0.1984
Nd 0.2576 0.5000 0.8048
Nd 0.7424 0.5000 0.1952
Nd 0.7769 0.0000 0.8016
Ru 0.0000 0.5000 0.0000
Pt 0.5000 0.0000 0.0000
Br 0.0000 0.0000 0.5000
Br 0.5000 0.5000 0.5000
```

Summary:
- DFT total energy (eV for the cell shown) = -46.08
- formation energy without anion corrections (eV/atom) = -1.0427

***

Entry 2:
Nd4PtSBr2 after structural relaxation. Source: Alexandria via LeMat-Bulk, functional PBE. Values from VASP.

Quantum ESPRESSO input file:
```
&SYSTEM
  ibrav = 0, nat = 8, ntyp = 4
/
ATOMIC_SPECIES
Nd 144.24 Nd.upf
Pt 195.08 Pt.upf
S 32.06 S.upf
Br 79.90 Br.upf
CELL_PARAMETERS angstrom
7.3752 0.0000 0.0000
0.0000 4.0899 0.0000
-2.3531 0.0000 7.4083
ATOMIC_POSITIONS crystal
Nd 0.2268 0.0000 0.2074
Nd 0.2720 0.5000 0.7920
Nd 0.7280 0.5000 0.2080
Nd 0.7732 0.0000 0.7926
Pt 0.5000 0.0000 0.0000
S 0.0000 0.5000 0.0000
Br 0.0000 0.0000 0.5000
Br 0.5000 0.5000 0.5000
```

Summary:
- DFT total energy (eV for the cell shown) = -43.79
- formation energy without anion corrections (eV/atom) = -1.4008

***

Entry 3:
Nd4PtSeBr2 after structural relaxation. Source: Alexandria via LeMat-Bulk, functional PBE. Values from VASP.

Quantum ESPRESSO input file:
```
&SYSTEM
  ibrav = 0, nat = 8, ntyp = 4
/
ATOMIC_SPECIES
Nd 144.24 Nd.upf
Pt 195.08 Pt.upf
Se 78.96 Se.upf
Br 79.90 Br.upf
CELL_PARAMETERS angstrom
7.5782 0.0000 0.0000
0.0000 4.1549 0.0000
-2.3478 0.0000 7.3389
ATOMIC_POSITIONS crystal
Nd 0.2187 0.0000 0.2101
Nd 0.2586 0.5000 0.7851
Nd 0.7414 0.5000 0.2149
Nd 0.7813 0.0000 0.7899
Pt 0.0000 0.5000 0.0000
Se 0.5000 0.0000 0.0000
Br 0.0000 0.0000 0.5000
Br 0.5000 0.5000 0.5000
```

Summary:
- DFT total energy (eV for the cell shown) = -42.76
- formation energy without anion corrections (eV/atom) = -1.3528

***

Entry 4:
Nd6Pt2Se3Br after structural relaxation. Source: Alexandria via LeMat-Bulk, functional PBE. Values from VASP.

Quantum ESPRESSO input file:
```
&SYSTEM
  ibrav = 0, nat = 12, ntyp = 4
/
ATOMIC_SPECIES
Nd 144.24 Nd.upf
Pt 195.08 Pt.upf
Se 78.96 Se.upf
Br 79.90 Br.upf
CELL_PARAMETERS angstrom
9.4093 -2.0697 0.0000
9.4093 2.0697 0.0000
-2.2267 0.0000 8.4694
ATOMIC_POSITIONS crystal
Nd 0.0056 0.0056 0.2713
Nd 0.3256 0.3256 0.8953
Nd 0.3300 0.3300 0.4271
Nd 0.6700 0.6700 0.5729
Nd 0.6744 0.6744 0.1047
Nd 0.9944 0.9944 0.7287
Pt 0.1659 0.1659 0.3316
Pt 0.8341 0.8341 0.6684
Se 0.1598 0.1598 0.8367
Se 0.5000 0.5000 0.5000
Se 0.8402 0.8402 0.1633
Br 0.5000 0.5000 0.0000
```

Summary:
- DFT total energy (eV for the cell shown) = -70.55
- formation energy without anion corrections (eV/atom) = -1.4775

***

Entry 5:
Nd3PtSeBr after structural relaxation. Source: Alexandria via LeMat-Bulk, functional PBE. Values from VASP.

Quantum ESPRESSO input file:
```
&SYSTEM
  ibrav = 0, nat = 12, ntyp = 4
/
ATOMIC_SPECIES
Nd 144.24 Nd.upf
Pt 195.08 Pt.upf
Se 78.96 Se.upf
Br 79.90 Br.upf
CELL_PARAMETERS angstrom
8.5416 0.0000 0.0000
0.0000 4.1263 0.0000
-2.6052 0.0000 9.5806
ATOMIC_POSITIONS crystal
Nd 0.0599 0.2500 0.3435
Nd 0.2039 0.2500 0.0034
Nd 0.4026 0.7500 0.6035
Nd 0.5974 0.2500 0.3965
Nd 0.7961 0.7500 0.9966
Nd 0.9401 0.7500 0.6565
Pt 0.1752 0.2500 0.6462
Pt 0.8248 0.7500 0.3538
Se 0.3049 0.7500 0.2654
Se 0.6951 0.2500 0.7346
Br 0.3878 0.7500 0.8914
Br 0.6122 0.2500 0.1086
```

Summary:
- DFT total energy (eV for the cell shown) = -64.99
- formation energy without anion corrections (eV/atom) = -1.1653

***

Entry 6:
Nd8Pt3Se4Br after structural relaxation. Source: Alexandria via LeMat-Bulk, functional PBE. Values from VASP.

Quantum ESPRESSO input file:
```
&SYSTEM
  ibrav = 0, nat = 16, ntyp = 4
/
ATOMIC_SPECIES
Nd 144.24 Nd.upf
Pt 195.08 Pt.upf
Se 78.96 Se.upf
Br 79.90 Br.upf
CELL_PARAMETERS angstrom
7.2440 -4.1822 0.0000
7.2440 4.1822 0.0000
-4.8301 0.0000 7.1953
ATOMIC_POSITIONS crystal
Nd 0.2367 0.7552 0.7473
Nd 0.2422 0.2422 0.7279
Nd 0.2446 0.2446 0.2533
Nd 0.2448 0.7633 0.2527
Nd 0.7552 0.2367 0.7473
Nd 0.7554 0.7554 0.7467
Nd 0.7578 0.7578 0.2721
Nd 0.7633 0.2448 0.2527
Pt 0.0000 0.0000 0.5000
Pt 0.0000 0.5000 0.5000
Pt 0.5000 0.0000 0.5000
Se 0.0000 0.0000 0.0000
Se 0.0000 0.5000 0.0000
Se 0.5000 0.0000 0.0000
Se 0.5000 0.5000 0.0000
Br 0.5000 0.5000 0.5000
```

Summary:
- DFT total energy (eV for the cell shown) = -95.35
- formation energy without anion corrections (eV/atom) = -1.4670

***

Entry 7:
Nd6SiPt2Br3 after structural relaxation. Source: Alexandria via LeMat-Bulk, functional PBE. Values from VASP.

Quantum ESPRESSO input file:
```
&SYSTEM
  ibrav = 0, nat = 12, ntyp = 4
/
ATOMIC_SPECIES
Nd 144.24 Nd.upf
Si 28.09 Si.upf
Pt 195.08 Pt.upf
Br 79.90 Br.upf
CELL_PARAMETERS angstrom
3.6961 -6.3961 0.0000
3.6961 6.3961 0.0000
-2.4672 0.0000 7.5070
ATOMIC_POSITIONS crystal
Nd 0.0903 0.4299 0.7940
Nd 0.2288 0.2288 0.2051
Nd 0.4299 0.0903 0.7940
Nd 0.5701 0.9097 0.2060
Nd 0.7712 0.7712 0.7949
Nd 0.9097 0.5701 0.2060
Si 0.5000 0.5000 0.0000
Pt 0.1674 0.8326 0.0000
Pt 0.8326 0.1674 0.0000
Br 0.0000 0.0000 0.5000
Br 0.3407 0.6593 0.5000
Br 0.6593 0.3407 0.5000
```

Summary:
- DFT total energy (eV for the cell shown) = -64.76
- formation energy without anion corrections (eV/atom) = -1.1358

***

Entry 8:
Nd4SiPtBr2 after structural relaxation. Source: Alexandria via LeMat-Bulk, functional PBE. Values from VASP.

Quantum ESPRESSO input file:
```
&SYSTEM
  ibrav = 0, nat = 8, ntyp = 4
/
ATOMIC_SPECIES
Nd 144.24 Nd.upf
Si 28.09 Si.upf
Pt 195.08 Pt.upf
Br 79.90 Br.upf
CELL_PARAMETERS angstrom
7.6418 0.0000 0.0000
0.0000 4.1708 0.0000
-2.3312 0.0000 7.3425
ATOMIC_POSITIONS crystal
Nd 0.2269 0.0000 0.2024
Nd 0.2636 0.5000 0.7859
Nd 0.7364 0.5000 0.2141
Nd 0.7731 0.0000 0.7976
Si 0.5000 0.0000 0.0000
Pt 0.0000 0.5000 0.0000
Br 0.0000 0.0000 0.5000
Br 0.5000 0.5000 0.5000
```

Summary:
- DFT total energy (eV for the cell shown) = -42.78
- formation energy without anion corrections (eV/atom) = -1.1124

***

Entry 9:
Nd8SiPt3Br4 after structural relaxation. Source: Alexandria via LeMat-Bulk, functional PBE. Values from VASP.

Quantum ESPRESSO input file:
```
&SYSTEM
  ibrav = 0, nat = 16, ntyp = 4
/
ATOMIC_SPECIES
Nd 144.24 Nd.upf
Si 28.09 Si.upf
Pt 195.08 Pt.upf
Br 79.90 Br.upf
CELL_PARAMETERS angstrom
4.2563 2.4574 7.5918
-4.2563 2.4574 7.5918
0.0000 -4.9148 7.5918
ATOMIC_POSITIONS crystal
Nd 0.2299 0.7372 0.7372
Nd 0.2328 0.2328 0.2328
Nd 0.2628 0.2628 0.7701
Nd 0.2628 0.7701 0.2628
Nd 0.7372 0.2299 0.7372
Nd 0.7372 0.7372 0.2299
Nd 0.7672 0.7672 0.7672
Nd 0.7701 0.2628 0.2628
Si 0.5000 0.5000 0.5000
Pt 0.0000 0.0000 0.5000
Pt 0.0000 0.5000 0.0000
Pt 0.5000 0.0000 0.0000
Br 0.0000 0.0000 0.0000
Br 0.0000 0.5000 0.5000
Br 0.5000 0.0000 0.5000
Br 0.5000 0.5000 0.0000
```

Summary:
- DFT total energy (eV for the cell shown) = -86.94
- formation energy without anion corrections (eV/atom) = -1.1597

***

Entry 10:
TbNdPtBr after structural relaxation. Source: Alexandria via LeMat-Bulk, functional PBE. Values from VASP.

Quantum ESPRESSO input file:
```
&SYSTEM
  ibrav = 0, nat = 4, ntyp = 4
/
ATOMIC_SPECIES
Tb 158.93 Tb.upf
Nd 144.24 Nd.upf
Pt 195.08 Pt.upf
Br 79.90 Br.upf
CELL_PARAMETERS angstrom
2.0691 1.1946 7.7999
-2.0691 1.1946 7.7999
0.0000 -2.3891 7.7999
ATOMIC_POSITIONS crystal
Tb 0.0000 0.0000 0.0000
Nd 0.2023 0.2023 0.2023
Pt 0.6045 0.6045 0.6045
Br 0.4314 0.4314 0.4314
```

Summary:
- DFT total energy (eV for the cell shown) = -22.05
- formation energy without anion corrections (eV/atom) = -1.2337

***

Entry 11:
Nd4Te2PtBr after structural relaxation. Source: Alexandria via LeMat-Bulk, functional PBE. Values from VASP.

Quantum ESPRESSO input file:
```
&SYSTEM
  ibrav = 0, nat = 8, ntyp = 4
/
ATOMIC_SPECIES
Nd 144.24 Nd.upf
Te 127.60 Te.upf
Pt 195.08 Pt.upf
Br 79.90 Br.upf
CELL_PARAMETERS angstrom
7.6878 0.0000 0.0000
0.0000 4.2522 0.0000
-2.4185 0.0000 7.4006
ATOMIC_POSITIONS crystal
Nd 0.2181 0.0000 0.2180
Nd 0.2382 0.5000 0.7593
Nd 0.7618 0.5000 0.2407
Nd 0.7819 0.0000 0.7820
Te 0.0000 0.0000 0.5000
Te 0.5000 0.5000 0.5000
Pt 0.0000 0.5000 0.0000
Br 0.5000 0.0000 0.0000
```

Summary:
- DFT total energy (eV for the cell shown) = -43.43
- formation energy without anion corrections (eV/atom) = -1.2958

***

Entry 12:
NdThPtBr after structural relaxation. Source: Alexandria via LeMat-Bulk, functional PBE. Values from VASP.

Quantum ESPRESSO input file:
```
&SYSTEM
  ibrav = 0, nat = 4, ntyp = 4
/
ATOMIC_SPECIES
Nd 144.24 Nd.upf
Th 232.04 Th.upf
Pt 195.08 Pt.upf
Br 79.90 Br.upf
CELL_PARAMETERS angstrom
2.0963 1.2103 7.9072
-2.0963 1.2103 7.9072
0.0000 -2.4206 7.9072
ATOMIC_POSITIONS crystal
Nd 0.0000 0.0000 0.0000
Th 0.2004 0.2004 0.2004
Pt 0.5957 0.5957 0.5957
Br 0.7670 0.7670 0.7670
```

Summary:
- DFT total energy (eV for the cell shown) = -24.36
- formation energy without anion corrections (eV/atom) = -1.1150

***

Entry 13:
NdYPtBr after structural relaxation. Source: Alexandria via LeMat-Bulk, functional PBE. Values from VASP.

Quantum ESPRESSO input file:
```
&SYSTEM
  ibrav = 0, nat = 4, ntyp = 4
/
ATOMIC_SPECIES
Nd 144.24 Nd.upf
Y 88.91 Y.upf
Pt 195.08 Pt.upf
Br 79.90 Br.upf
CELL_PARAMETERS angstrom
2.0623 1.1907 7.8026
-2.0623 1.1907 7.8026
0.0000 -2.3814 7.8026
ATOMIC_POSITIONS crystal
Nd 0.0000 0.0000 0.0000
Y 0.7985 0.7985 0.7985
Pt 0.4024 0.4024 0.4024
Br 0.2289 0.2289 0.2289
```

Summary:
- DFT total energy (eV for the cell shown) = -23.83
- formation energy without anion corrections (eV/atom) = -1.2211

***

Entry 14:
NdPu2Br6 after structural relaxation. Source: Alexandria via LeMat-Bulk, functional PBE. Values from VASP.

Quantum ESPRESSO input file:
```
&SYSTEM
  ibrav = 0, nat = 9, ntyp = 3
/
ATOMIC_SPECIES
Nd 144.24 Nd.upf
Pu 244.00 Pu.upf
Br 79.90 Br.upf
CELL_PARAMETERS angstrom
7.9000 -2.0475 0.0000
7.9000 2.0475 0.0000
-3.9062 0.0000 9.8864
ATOMIC_POSITIONS crystal
Nd 0.0000 0.0000 0.0000
Pu 0.3359 0.3359 0.6702
Pu 0.6641 0.6641 0.3298
Br 0.0198 0.0198 0.2898
Br 0.3083 0.3083 0.3785
Br 0.3538 0.3538 0.9593
Br 0.6462 0.6462 0.0407
Br 0.6917 0.6917 0.6215
Br 0.9802 0.9802 0.7102
```

Summary:
- DFT total energy (eV for the cell shown) = -57.01
- formation energy without anion corrections (eV/atom) = -1.5047

***

Entry 15:
NdPuBr6 after structural relaxation. Source: Alexandria via LeMat-Bulk, functional PBE. Values from VASP.

Quantum ESPRESSO input file:
```
&SYSTEM
  ibrav = 0, nat = 8, ntyp = 3
/
ATOMIC_SPECIES
Nd 144.24 Nd.upf
Pu 244.00 Pu.upf
Br 79.90 Br.upf
CELL_PARAMETERS angstrom
3.5922 2.0739 6.7175
-3.5922 2.0739 6.7175
0.0000 -4.1479 6.7175
ATOMIC_POSITIONS crystal
Nd 0.0000 0.0000 0.0000
Pu 0.5000 0.5000 0.5000
Br 0.0931 0.4101 0.7451
Br 0.2549 0.9069 0.5899
Br 0.4101 0.7451 0.0931
Br 0.5899 0.2549 0.9069
Br 0.7451 0.0931 0.4101
Br 0.9069 0.5899 0.2549
```

Summary:
- DFT total energy (eV for the cell shown) = -42.30
- formation energy without anion corrections (eV/atom) = -1.6451

***

Entry 16:
NdPuBr5 after structural relaxation. Source: Alexandria via LeMat-Bulk, functional PBE. Values from VASP.

Quantum ESPRESSO input file:
```
&SYSTEM
  ibrav = 0, nat = 14, ntyp = 3
/
ATOMIC_SPECIES
Nd 144.24 Nd.upf
Pu 244.00 Pu.upf
Br 79.90 Br.upf
CELL_PARAMETERS angstrom
8.5017 0.0000 0.0000
0.0000 4.1387 0.0000
-0.8456 0.0000 13.8173
ATOMIC_POSITIONS crystal
Nd 0.0809 0.2500 0.1562
Nd 0.9191 0.7500 0.8438
Pu 0.4111 0.7500 0.3575
Pu 0.5889 0.2500 0.6425
Br 0.1373 0.2500 0.7881
Br 0.1517 0.2500 0.3706
Br 0.1824 0.7500 0.0166
Br 0.3531 0.7500 0.5710
Br 0.4302 0.2500 0.1938
Br 0.5698 0.7500 0.8062
Br 0.6469 0.2500 0.4290
Br 0.8176 0.2500 0.9834
Br 0.8483 0.7500 0.6294
Br 0.8627 0.7500 0.2119
```

Summary:
- DFT total energy (eV for the cell shown) = -78.58
- formation energy without anion corrections (eV/atom) = -1.6892

***

Entry 17:
NdPuBr after structural relaxation. Source: Alexandria via LeMat-Bulk, functional PBE. Values from VASP.

Quantum ESPRESSO input file:
```
&SYSTEM
  ibrav = 0, nat = 6, ntyp = 3
/
ATOMIC_SPECIES
Nd 144.24 Nd.upf
Pu 244.00 Pu.upf
Br 79.90 Br.upf
CELL_PARAMETERS angstrom
2.4493 -9.4383 0.0000
2.4493 9.4383 0.0000
0.0000 0.0000 3.7345
ATOMIC_POSITIONS crystal
Nd 0.0942 0.9058 0.7500
Nd 0.9058 0.0942 0.2500
Pu 0.4650 0.5350 0.7500
Pu 0.5350 0.4650 0.2500
Br 0.3149 0.6851 0.7500
Br 0.6851 0.3149 0.2500
```

Summary:
- DFT total energy (eV for the cell shown) = -44.09
- formation energy without anion corrections (eV/atom) = -0.4241

***

Entry 18:
RbNdPuBr6 after structural relaxation. Source: Alexandria via LeMat-Bulk, functional PBE. Values from VASP.

Quantum ESPRESSO input file:
```
&SYSTEM
  ibrav = 0, nat = 18, ntyp = 4
/
ATOMIC_SPECIES
Rb 85.47 Rb.upf
Nd 144.24 Nd.upf
Pu 244.00 Pu.upf
Br 79.90 Br.upf
CELL_PARAMETERS angstrom
7.6180 0.0000 0.0000
-3.8090 6.5974 0.0000
0.0000 0.0000 15.2756
ATOMIC_POSITIONS crystal
Rb 0.0000 0.0000 0.0000
Rb 0.0000 0.0000 0.5000
Nd 0.3333 0.6667 0.2500
Nd 0.6667 0.3333 0.7500
Pu 0.3333 0.6667 0.7500
Pu 0.6667 0.3333 0.2500
Br 0.0058 0.3710 0.1386
Br 0.0058 0.6348 0.3614
Br 0.3652 0.3710 0.3614
Br 0.3652 0.9942 0.1386
Br 0.3710 0.0058 0.6386
Br 0.3710 0.3652 0.8614
Br 0.6290 0.6348 0.1386
Br 0.6290 0.9942 0.3614
Br 0.6348 0.0058 0.8614
Br 0.6348 0.6290 0.6386
Br 0.9942 0.3652 0.6386
Br 0.9942 0.6290 0.8614
```

Summary:
- DFT total energy (eV for the cell shown) = -91.14
- formation energy without anion corrections (eV/atom) = -1.7183

***

Entry 19:
NdPuTe2Br after structural relaxation. Source: Alexandria via LeMat-Bulk, functional PBE. Values from VASP.

Quantum ESPRESSO input file:
```
&SYSTEM
  ibrav = 0, nat = 10, ntyp = 4
/
ATOMIC_SPECIES
Nd 144.24 Nd.upf
Pu 244.00 Pu.upf
Te 127.60 Te.upf
Br 79.90 Br.upf
CELL_PARAMETERS angstrom
4.5227 0.0000 0.0000
0.0000 4.5227 0.0000
0.0000 0.0000 15.2549
ATOMIC_POSITIONS crystal
Nd 0.2500 0.2500 0.0961
Nd 0.7500 0.7500 0.9039
Pu 0.2500 0.2500 0.6370
Pu 0.7500 0.7500 0.3630
Te 0.2500 0.2500 0.3010
Te 0.2500 0.2500 0.8834
Te 0.7500 0.7500 0.1166
Te 0.7500 0.7500 0.6990
Br 0.2500 0.7500 0.5000
Br 0.7500 0.2500 0.5000
```

Summary:
- DFT total energy (eV for the cell shown) = -66.91
- formation energy without anion corrections (eV/atom) = -1.2799

***

Entry 20:
Rb4NdBr6 after structural relaxation. Source: Alexandria via LeMat-Bulk, functional PBE. Values from VASP.

Quantum ESPRESSO input file:
```
&SYSTEM
  ibrav = 0, nat = 22, ntyp = 3
/
ATOMIC_SPECIES
Rb 85.47 Rb.upf
Nd 144.24 Nd.upf
Br 79.90 Br.upf
CELL_PARAMETERS angstrom
9.5973 0.0000 0.0000
0.0000 9.5973 0.0000
0.0000 0.0000 9.8424
ATOMIC_POSITIONS crystal
Rb 0.1703 0.3297 0.2500
Rb 0.1703 0.3297 0.7500
Rb 0.3297 0.8297 0.2500
Rb 0.3297 0.8297 0.7500
Rb 0.6703 0.1703 0.2500
Rb 0.6703 0.1703 0.7500
Rb 0.8297 0.6703 0.2500
Rb 0.8297 0.6703 0.7500
Nd 0.0000 0.0000 0.0000
Nd 0.5000 0.5000 0.5000
Br 0.0000 0.0000 0.2961
Br 0.0000 0.0000 0.7039
Br 0.0978 0.6977 0.0000
Br 0.1977 0.5978 0.5000
Br 0.3023 0.0978 0.0000
Br 0.4022 0.1977 0.5000
Br 0.5000 0.5000 0.2039
Br 0.5000 0.5000 0.7961
Br 0.5978 0.8023 0.5000
Br 0.6977 0.9022 0.0000
Br 0.8023 0.4022 0.5000
Br 0.9022 0.3023 0.0000
```

Summary:
- DFT total energy (eV for the cell shown) = -73.66
- formation energy without anion corrections (eV/atom) = -1.6503